FeP4O12 | Alexandria | GGA+U | relaxed; excess energy over the best structure of this formula in the dataset = 0.014 eV/atom; space-group type = Pnma, No. 62
1.0
9.432 0.000 0.000
0.000 9.133 0.000
0.000 0.000 10.547
Fe P O
4 16 48
direct
0.011 0.250 0.216
0.489 0.750 0.716
0.511 0.250 0.284
0.989 0.750 0.784
0.207 0.750 0.389
0.217 0.549 0.609
0.217 0.951 0.609
0.236 0.250 0.482
0.264 0.750 0.982
0.283 0.049 0.109
0.283 0.451 0.109
0.293 0.250 0.889
0.707 0.750 0.111
0.717 0.549 0.891
0.717 0.951 0.891
0.736 0.250 0.018
0.764 0.750 0.518
0.783 0.049 0.391
0.783 0.451 0.391
0.793 0.250 0.611
0.108 0.588 0.708
0.108 0.912 0.708
0.111 0.750 0.942
0.119 0.750 0.270
0.126 0.250 0.380
0.133 0.093 0.134
0.133 0.407 0.134
0.140 0.250 0.849
0.164 0.612 0.474
0.164 0.888 0.474
0.203 0.121 0.581
0.203 0.379 0.581
0.297 0.621 0.081
0.297 0.879 0.081
0.336 0.112 0.974
0.336 0.388 0.974
0.360 0.750 0.349
0.367 0.593 0.634
0.367 0.907 0.634
0.374 0.750 0.880
0.381 0.250 0.770
0.389 0.250 0.442
0.392 0.088 0.208
0.392 0.412 0.208
0.608 0.588 0.792
0.608 0.912 0.792
0.611 0.750 0.558
0.619 0.750 0.230
0.626 0.250 0.120
0.633 0.093 0.366
0.633 0.407 0.366
0.640 0.250 0.651
0.664 0.612 0.026
0.664 0.888 0.026
0.703 0.121 0.919
0.703 0.379 0.919
0.797 0.621 0.419
0.797 0.879 0.419
0.836 0.112 0.526
0.836 0.388 0.526
0.860 0.750 0.151
0.867 0.593 0.866
0.867 0.907 0.866
0.874 0.750 0.620
0.881 0.250 0.730
0.889 0.250 0.058
0.892 0.088 0.292
0.892 0.412 0.292